1.
An optimized crystal structure of MgCu2Au2, computed with GGA-PBE.

abc: 7.1948 7.1948 3.2199
angles: 90.00 90.00 90.00
Last column: nearest neighbours and their distance in Å.
Positions (direct):
Mg (0.0000, 0.0000, 0.0000)  4 Au 2.77
Mg (0.5000, 0.5000, 0.0000)  4 Au 2.77
Au (0.3572, 0.8572, 0.0000)  6 Cu 2.60-2.69, 2 Mg 2.77, 1 Au 2.91
Au (0.8572, 0.6428, 0.0000)  6 Cu 2.60-2.69, 2 Mg 2.77, 1 Au 2.91
Au (0.6428, 0.1428, 0.0000)  6 Cu 2.60-2.69, 2 Mg 2.77, 1 Au 2.91
Au (0.1428, 0.3572, 0.0000)  6 Cu 2.60-2.69, 2 Mg 2.77, 1 Au 2.91
Cu (0.1560, 0.6560, 0.5000)  6 Au 2.60-2.69
Cu (0.6560, 0.8440, 0.5000)  6 Au 2.60-2.69
Cu (0.8440, 0.3440, 0.5000)  6 Au 2.60-2.69
Cu (0.3440, 0.1560, 0.5000)  6 Au 2.60-2.69

For the formation energy, the calculation gives -0.130 eV/atom. The calculated volume comes out at 16.67 Å³/atom.

2.
An optimized crystal structure of Ga4Ag8Sn, computed with GGA-PBE.

abc: 4.1165 5.1262 13.6488
angles: 64.44 81.33 66.33
Last column: nearest neighbours and their distance in Å.
Positions (direct):
Ga (0.3651, 0.8424, 0.4273)  9 Ag 2.86-2.93, 3 Ga 2.93-2.99
Ga (0.8896, 0.4254, 0.7954)  9 Ag 2.86-3.13, 2 Sn 3.13
Ga (0.1418, 0.5780, 0.1385)  9 Ag 2.86-3.13, 2 Sn 3.13
Ga (0.6664, 0.1609, 0.5063)  9 Ag 2.86-2.93, 3 Ga 2.93-2.99
Ag (0.0600, 0.5222, 0.3578)  6 Ga 2.86-2.93, 6 Ag 2.87-2.96
Ag (0.4463, 0.9032, 0.2042)  4 Ga 2.91-2.92, 7 Ag 2.95-2.99, 1 Sn 3.04
Ag (0.5852, 0.1000, 0.7296)  4 Ga 2.91-2.92, 7 Ag 2.95-2.99, 1 Sn 3.04
Ag (0.9715, 0.4810, 0.5760)  6 Ga 2.86-2.93, 6 Ag 2.87-2.96
Ag (0.7536, 0.2082, 0.2845)  5 Ga 2.86-2.91, 7 Ag 2.93-2.99
Ag (0.2112, 0.6969, 0.8806)  3 Ga 2.90-3.13, 5 Ag 2.96-3.09, 3 Sn 2.98-3.00
Ag (0.2779, 0.7950, 0.6492)  5 Ga 2.86-2.91, 7 Ag 2.93-2.99
Ag (0.8200, 0.3068, 0.0532)  3 Ga 2.89-3.13, 5 Ag 2.96-3.09, 3 Sn 2.98-3.00
Sn (0.5156, 0.0020, 0.9668)  8 Ag 2.98-3.04, 4 Ga 3.13

For the formation energy, the calculation gives 0.020 eV/atom. The calculated volume comes out at 18.30 Å³/atom.

3.
An optimized crystal structure of NiBiPt, computed with GGA-PBE.

abc: 4.5587 4.3368 12.3835
angles: 90.00 109.51 90.00
Last column: nearest neighbours and their distance in Å.
Positions (direct):
Ni (0.2065, 0.0000, 0.1493)  2 Ni 2.49-2.56, 3 Pt 2.56-2.63
Ni (0.2065, 0.5000, 0.6493)  2 Ni 2.49-2.56, 3 Pt 2.56-2.63
Ni (0.6140, 0.0000, 0.0559)  2 Ni 2.49-2.56, 3 Pt 2.57-2.64, 3 Bi 2.68-2.70
Ni (0.6140, 0.5000, 0.5559)  2 Ni 2.49-2.56, 3 Pt 2.57-2.64, 3 Bi 2.68-2.70
Bi (0.2509, 0.0000, 0.8354)  1 Ni 2.68, 3 Pt 2.79-2.80
Bi (0.2509, 0.5000, 0.3354)  1 Ni 2.68, 3 Pt 2.79-2.80
Bi (0.9022, 0.0000, 0.5082)  4 Ni 2.70-2.84, 3 Pt 2.80-2.99
Bi (0.9022, 0.5000, 0.0082)  4 Ni 2.70-2.84, 3 Pt 2.80-2.99
Pt (0.8434, 0.0000, 0.2760)  3 Ni 2.57-2.80, 2 Pt 2.75, 3 Bi 2.79-2.80
Pt (0.8434, 0.5000, 0.7760)  3 Ni 2.57-2.80, 2 Pt 2.75, 3 Bi 2.79-2.80
Pt (0.5152, 0.0000, 0.6612)  4 Ni 2.56-2.64, 2 Pt 2.75, 2 Bi 2.80
Pt (0.5152, 0.5000, 0.1612)  4 Ni 2.56-2.64, 2 Pt 2.75, 2 Bi 2.80

For the formation energy, the calculation gives -0.076 eV/atom. The calculated volume comes out at 19.23 Å³/atom.

4.
An optimized crystal structure of LiSm2HfS4, computed with GGA-PBE.

abc: 3.8391 6.6851 6.5808
angles: 109.08 90.00 90.00
Last column: nearest neighbours and their distance in Å.
Positions (direct):
Li (0.0000, 0.0000, 0.0000)  6 S 2.59-2.64
Sm (0.5000, 0.0000, 0.5000)  6 S 2.81-2.82
Sm (0.0000, 0.5000, 0.5000)  6 S 2.81-2.82
Hf (0.5000, 0.5000, 0.0000)  6 S 2.60-2.62
S (0.5000, 0.2443, 0.2239)  1 Hf 2.60, 2 Li 2.64, 3 Sm 2.81
S (0.5000, 0.7557, 0.7761)  1 Hf 2.60, 2 Li 2.64, 3 Sm 2.81
S (0.0000, 0.2575, 0.7799)  1 Li 2.59, 2 Hf 2.62, 3 Sm 2.82
S (0.0000, 0.7425, 0.2201)  1 Li 2.59, 2 Hf 2.62, 3 Sm 2.82

As for the formation energy without anion corrections: -1.721 eV per atom. The calculated volume comes out at 19.95 Å³/atom.

5.
An optimized crystal structure of CuPt3, computed with GGA-PBE.

abc: 2.7574 3.9049 5.5395
angles: 90.00 90.00 90.00
Last column: nearest neighbours and their distance in Å.
Positions (direct):
Cu (0.0000, 0.0000, 0.0000)  10 Pt 2.74-2.77, 2 Cu 2.76
Pt (0.0000, 0.0000, 0.5000)  10 Pt 2.76-2.78, 2 Cu 2.77
Pt (0.5000, 0.5000, 0.2433)  8 Pt 2.70-2.84, 4 Cu 2.74
Pt (0.5000, 0.5000, 0.7567)  8 Pt 2.70-2.84, 4 Cu 2.74

For the formation energy, the calculation gives -0.075 eV/atom. The calculated volume comes out at 14.91 Å³/atom.

6.
An optimized crystal structure of SmScCo10, computed with GGA-PBE.

abc: 3.9681 4.8533 8.4726
angles: 90.00 90.00 90.00
Last column: nearest neighbours and their distance in Å.
Positions (direct):
Sm (0.0000, 0.0000, 0.0000)  18 Co 2.90-3.18
Sc (0.0000, 0.5000, 0.5000)  6 Co 2.65-2.76
Co (0.0000, 0.0000, 0.3439)  7 Co 2.38-2.65
Co (0.0000, 0.5000, 0.8131)  6 Co 2.39-2.54, 1 Sc 2.65
Co (0.0000, 0.5000, 0.1869)  6 Co 2.39-2.54, 1 Sc 2.65
Co (0.0000, 0.0000, 0.6561)  7 Co 2.38-2.65
Co (0.5000, 0.0000, 0.5000)  8 Co 2.38-2.41
Co (0.5000, 0.5000, 0.0000)  8 Co 2.48-2.54
Co (0.5000, 0.2527, 0.2557)  8 Co 2.39-2.48
Co (0.5000, 0.7473, 0.7443)  8 Co 2.39-2.48
Co (0.5000, 0.7473, 0.2557)  8 Co 2.39-2.48
Co (0.5000, 0.2527, 0.7443)  8 Co 2.39-2.48

For the formation energy, the calculation gives -0.088 eV/atom. The calculated volume comes out at 13.60 Å³/atom.

7.
An optimized crystal structure of CdMoPb2, computed with GGA-PBE.

abc: 5.5500 5.5500 5.5500
angles: 131.53 131.53 70.98
Last column: nearest neighbours and their distance in Å.
Positions (direct):
Cd (0.2500, 0.7500, 0.5000)  8 Pb 3.21, 4 Mo 3.22
Mo (0.7500, 0.2500, 0.5000)  8 Pb 3.21, 4 Cd 3.22
Pb (0.0000, 0.0000, 0.0000)  4 Cd 3.21, 4 Mo 3.21, 4 Pb 3.22
Pb (0.5000, 0.5000, 0.0000)  4 Mo 3.21, 4 Cd 3.21, 4 Pb 3.22

For the formation energy, the calculation gives 0.658 eV/atom. The calculated volume comes out at 23.46 Å³/atom.

8.
An optimized crystal structure of RbPd2O, computed with GGA-PBE.

abc: 5.5765 5.5765 7.1468
angles: 67.04 67.04 90.00
Last column: nearest neighbours and their distance in Å.
Positions (direct):
O (0.5000, 0.5000, 0.0000)  4 Pd 2.04
O (0.2500, 0.7500, 0.5000)  4 Pd 2.04
Rb (0.0000, 0.0000, 0.0000)  8 Pd 3.46
Rb (0.7500, 0.2500, 0.5000)  8 Pd 3.46
Pd (0.3750, 0.1250, 0.2500)  2 O 2.04
Pd (0.3750, 0.6250, 0.2500)  2 O 2.04
Pd (0.3750, 0.6250, 0.7500)  2 O 2.04
Pd (0.8750, 0.6250, 0.7500)  2 O 2.04

As for the formation energy without anion corrections: -0.358 eV per atom. The calculated volume comes out at 23.17 Å³/atom.

9.
An optimized crystal structure of LuScTa, computed with GGA-PBE.

abc: 3.0951 3.0951 7.6177
angles: 101.72 101.72 90.00
Last column: nearest neighbours and their distance in Å.
Positions (direct):
Sc (0.3148, 0.3148, 0.6295)  4 Ta 3.04, 4 Sc 3.10
Lu (0.0149, 0.0149, 0.0298)  4 Lu 3.10, 4 Ta 3.15
Ta (0.6703, 0.6703, 0.3406)  4 Sc 3.04, 4 Ta 3.10, 4 Lu 3.15

For the formation energy, the calculation gives 0.193 eV/atom. The calculated volume comes out at 23.30 Å³/atom.

10.
An optimized crystal structure of LiPt2W, computed with GGA-PBE.

abc: 4.5841 4.5841 5.0601
angles: 83.01 83.01 34.80
Last column: nearest neighbours and their distance in Å.
Positions (direct):
Li (0.2500, 0.2500, 0.2500)  6 Pt 2.66-2.75, 2 Li 2.74, 4 W 2.88
Pt (0.0001, 0.0001, 0.0017)  3 Li 2.66-2.75, 3 W 2.67-2.75, 6 Pt 2.74-2.89
Pt (0.4999, 0.4999, 0.4983)  3 Li 2.66-2.75, 3 W 2.67-2.75, 6 Pt 2.74-2.89
W (0.7500, 0.7500, 0.7500)  6 Pt 2.67-2.75, 2 W 2.74, 4 Li 2.88

For the formation energy, the calculation gives -0.092 eV/atom. The calculated volume comes out at 15.05 Å³/atom.

11.
An optimized crystal structure of Li2Mn3CrN6, computed with GGA-PBE.

abc: 4.8810 4.8810 5.0668
angles: 98.71 98.71 120.78
Last column: nearest neighbours and their distance in Å.
Positions (direct):
Li (0.3382, 0.6618, 0.0000)  6 N 2.06-2.15
Li (0.6618, 0.3382, 0.0000)  6 N 2.06-2.15
Mn (0.1919, 0.8081, 0.5000)  6 N 1.92-2.06
Mn (0.8081, 0.1919, 0.5000)  6 N 1.92-2.06
Mn (0.5000, 0.5000, 0.5000)  6 N 1.97-1.98
Cr (0.0000, 0.0000, 0.0000)  6 N 2.00-2.04
N (0.9150, 0.5954, 0.7410)  3 Mn 1.92-1.98, 1 Cr 2.00, 2 Li 2.06-2.11
N (0.7801, 0.7801, 0.2859)  3 Mn 1.97-2.06, 1 Cr 2.04, 2 Li 2.15
N (0.0850, 0.4046, 0.2590)  3 Mn 1.92-1.98, 1 Cr 2.00, 2 Li 2.06-2.11
N (0.5954, 0.9150, 0.7410)  3 Mn 1.92-1.98, 1 Cr 2.00, 2 Li 2.06-2.11
N (0.2199, 0.2199, 0.7141)  3 Mn 1.97-2.06, 1 Cr 2.04, 2 Li 2.15
N (0.4046, 0.0850, 0.2590)  3 Mn 1.92-1.98, 1 Cr 2.00, 2 Li 2.06-2.11

As for the formation energy without anion corrections: -0.321 eV per atom. The calculated volume comes out at 8.23 Å³/atom.

12.
An optimized crystal structure of La2PuMgTe5, computed with GGA-PBE.

abc: 4.5037 9.8575 13.4090
angles: 90.00 90.00 103.21
Last column: nearest neighbours and their distance in Å.
Positions (direct):
La (0.8713, 0.7425, 0.8051)  8 Te 3.30-3.56
La (0.1132, 0.2264, 0.6847)  8 Te 3.36-3.43
La (0.1287, 0.2575, 0.3051)  8 Te 3.30-3.56
La (0.8868, 0.7736, 0.1847)  8 Te 3.36-3.43
Pu (0.7947, 0.5893, 0.5085)  6 Te 3.11-3.17
Pu (0.2053, 0.4107, 0.0085)  6 Te 3.11-3.17
Mg (0.5583, 0.1167, 0.9602)  4 Te 2.73-2.93
Mg (0.4417, 0.8833, 0.4602)  4 Te 2.73-2.93
Te (0.3674, 0.7348, 0.9994)  1 Pu 3.11, 4 La 3.37-3.44
Te (0.6882, 0.3763, 0.8452)  1 Mg 2.93, 2 Pu 3.16
Te (0.4980, 0.9960, 0.7759)  1 Mg 2.73
Te (0.2882, 0.5763, 0.6698)  2 Pu 3.13, 3 La 3.30-3.36
Te (0.9530, 0.9060, 0.5752)  2 Mg 2.74
Te (0.6326, 0.2652, 0.4994)  1 Pu 3.11, 4 La 3.37-3.44
Te (0.3118, 0.6237, 0.3452)  1 Mg 2.93, 2 Pu 3.16
Te (0.5020, 0.0040, 0.2759)  1 Mg 2.73
Te (0.7118, 0.4237, 0.1698)  2 Pu 3.13, 3 La 3.30-3.36
Te (0.0470, 0.0940, 0.0752)  2 Mg 2.74

As for the formation energy without anion corrections: -1.272 eV per atom. The calculated volume comes out at 32.20 Å³/atom.

13.
An optimized crystal structure of MnTl3Mo, computed with GGA-PBE.

abc: 5.1389 5.1389 5.1389
angles: 90.00 90.00 90.00
Last column: nearest neighbours and their distance in Å.
Positions (direct):
Tl (0.0000, 0.5000, 0.0000)  2 Mn 2.57
Tl (0.0000, 0.0000, 0.5000)  2 Mn 2.57
Tl (0.5000, 0.0000, 0.0000)  2 Mn 2.57
Mn (0.0000, 0.0000, 0.0000)  6 Tl 2.57
Mo (0.5000, 0.5000, 0.5000)  12 Tl 3.63

For the formation energy, the calculation gives 1.134 eV/atom. The calculated volume comes out at 27.14 Å³/atom.

14.
An optimized crystal structure of Pm3Tl4Hg2, computed with GGA-PBE.

abc: 5.0033 6.3397 9.5425
angles: 113.35 90.00 113.24
Last column: nearest neighbours and their distance in Å.
Positions (direct):
Pm (0.6657, 0.3314, 0.6665)  3 Hg 3.24, 3 Tl 3.32-3.33
Pm (0.0000, 0.0000, 0.0000)  6 Tl 3.25-3.29
Pm (0.3343, 0.6686, 0.3335)  3 Hg 3.24, 3 Tl 3.32-3.33
Tl (0.6863, 0.3725, 0.0255)  1 Hg 3.01, 2 Tl 3.05, 3 Pm 3.25-3.33
Tl (0.3137, 0.6275, 0.9745)  1 Hg 3.01, 2 Tl 3.05, 3 Pm 3.25-3.33
Tl (0.9706, 0.9413, 0.6416)  2 Hg 2.99, 1 Tl 3.06, 3 Pm 3.29-3.32
Tl (0.0294, 0.0587, 0.3584)  2 Hg 2.99, 1 Tl 3.06, 3 Pm 3.29-3.32
Hg (0.6539, 0.3077, 0.3214)  3 Tl 2.99-3.01, 3 Pm 3.24
Hg (0.3461, 0.6923, 0.6786)  3 Tl 2.99-3.01, 3 Pm 3.24

For the formation energy, the calculation gives -0.321 eV/atom. The calculated volume comes out at 27.88 Å³/atom.

15.
An optimized crystal structure of KLa5Te6, computed with GGA-PBE.

abc: 8.0238 8.0104 8.0046
angles: 59.98 80.41 70.56
Last column: nearest neighbours and their distance in Å.
Positions (direct):
K (0.0000, 0.0000, 0.0000)  6 Te 3.31-3.34
Te (0.7440, 0.0853, 0.3404)  5 La 3.25-3.28, 1 K 3.34
Te (0.2560, 0.5743, 0.3404)  5 La 3.25-3.28, 1 K 3.34
Te (0.2493, 0.2563, 0.0000)  5 La 3.24-3.25, 1 K 3.31
Te (0.7507, 0.7437, 0.0000)  5 La 3.24-3.25, 1 K 3.31
Te (0.7440, 0.4257, 0.6596)  5 La 3.25-3.28, 1 K 3.34
Te (0.2560, 0.9147, 0.6596)  5 La 3.25-3.28, 1 K 3.34
La (0.5000, 0.1616, 0.6768)  6 Te 3.24-3.27
La (0.0000, 0.3334, 0.3332)  6 Te 3.25-3.28
La (0.5000, 0.5000, 0.0000)  6 Te 3.24-3.27
La (0.0000, 0.6666, 0.6668)  6 Te 3.25-3.28
La (0.5000, 0.8384, 0.3232)  6 Te 3.24-3.27

As for the formation energy without anion corrections: -1.540 eV per atom. The calculated volume comes out at 35.00 Å³/atom.

16.
An optimized crystal structure of PuMgAlCd, computed with GGA-PBE.

abc: 5.0422 5.0422 5.0422
angles: 60.00 60.00 60.00
Last column: nearest neighbours and their distance in Å.
Positions (direct):
Mg (0.5000, 0.5000, 0.5000)  4 Cd 3.09, 4 Al 3.09
Cd (0.7500, 0.7500, 0.7500)  4 Mg 3.09, 4 Pu 3.09
Al (0.2500, 0.2500, 0.2500)  4 Mg 3.09, 4 Pu 3.09
Pu (0.0000, 0.0000, 0.0000)  4 Cd 3.09, 4 Al 3.09

For the formation energy, the calculation gives -0.071 eV/atom. The calculated volume comes out at 22.66 Å³/atom.

17.
An optimized crystal structure of CsIn5Te4, computed with GGA-PBE.

abc: 6.9162 8.7124 12.7264
angles: 90.00 90.00 90.00
Last column: nearest neighbours and their distance in Å.
Positions (direct):
Cs (0.9175, 0.0000, 0.0000)  6 Te 3.92-4.17, 4 In 4.16
Cs (0.0825, 0.5000, 0.5000)  6 Te 3.92-4.17, 4 In 4.16
In (0.2955, 0.6863, 0.7776)  3 Te 3.07-3.30, 2 In 3.12-3.25
In (0.2955, 0.3137, 0.7776)  3 Te 3.07-3.30, 2 In 3.12-3.25
In (0.6447, 0.5000, 0.0000)  4 Te 2.86-2.93
In (0.2955, 0.6863, 0.2224)  3 Te 3.07-3.30, 2 In 3.12-3.25
In (0.2955, 0.3137, 0.2224)  3 Te 3.07-3.30, 2 In 3.12-3.25
In (0.7045, 0.8137, 0.2776)  3 Te 3.07-3.30, 2 In 3.12-3.25
In (0.7045, 0.1863, 0.2776)  3 Te 3.07-3.30, 2 In 3.12-3.25
In (0.3553, 0.0000, 0.5000)  4 Te 2.86-2.93
In (0.7045, 0.1863, 0.7224)  3 Te 3.07-3.30, 2 In 3.12-3.25
In (0.7045, 0.8137, 0.7224)  3 Te 3.07-3.30, 2 In 3.12-3.25
Te (0.1164, 0.0000, 0.6905)  3 In 2.93-3.20
Te (0.4245, 0.7776, 0.0000)  3 In 2.86-3.07
Te (0.4245, 0.2224, 0.0000)  3 In 2.86-3.07
Te (0.1164, 0.0000, 0.3095)  3 In 2.93-3.20
Te (0.8836, 0.5000, 0.1905)  3 In 2.93-3.20
Te (0.5755, 0.7224, 0.5000)  3 In 2.86-3.07
Te (0.5755, 0.2776, 0.5000)  3 In 2.86-3.07
Te (0.8836, 0.5000, 0.8095)  3 In 2.93-3.20

As for the formation energy without anion corrections: -0.344 eV per atom. The calculated volume comes out at 38.34 Å³/atom.